No. 1
# ZrSb (PBE, optimized geometry)
data_ZrSb
_chemical_formula_sum 'Zr12 Sb12'
_cell_length_a 3.832
_cell_length_b 10.522
_cell_length_c 14.181
_cell_angle_alpha 90.00
_cell_angle_beta 90.00
_cell_angle_gamma 90.00
_symmetry_space_group_name_H-M 'C m c m'
_symmetry_Int_Tables_number 63
_symmetry_space_group_name_Hall '-C 2c 2'
loop_
_atom_site_label
_atom_site_fract_x
_atom_site_fract_y
_atom_site_fract_z
Zr1 0.000 0.071 0.108
Zr2 0.000 0.380 0.250
Sb1 0.000 0.331 0.750
Sb2 0.000 0.358 0.049
# * volume: 23.82 Å³ per atom
# * final energy: -7.044 eV per atom

=====

No. 2
# Zr3Sb (PBE, optimized geometry)
data_Zr3Sb
_chemical_formula_sum 'Zr24 Sb8'
_cell_length_a 11.376
_cell_length_b 11.376
_cell_length_c 5.747
_cell_angle_alpha 90.00
_cell_angle_beta 90.00
_cell_angle_gamma 90.00
_symmetry_space_group_name_H-M 'P 42/n'
_symmetry_Int_Tables_number 86
loop_
_symmetry_equiv_pos_as_xyz
'x,y,z'
'-x,-y,-z'
'-y,x+1/2,z+1/2'
'y,-x+1/2,-z+1/2'
'-x+1/2,-y+1/2,z'
'x+1/2,y+1/2,-z'
'y+1/2,-x,z+1/2'
'-y+1/2,x,-z+1/2'
loop_
_atom_site_label
_atom_site_fract_x
_atom_site_fract_y
_atom_site_fract_z
Zr1 0.036 0.934 0.244
Zr2 0.105 0.275 0.045
Zr3 0.147 0.831 0.709
Sb1 0.046 0.289 0.546
# * volume: 23.24 Å³ per atom
# * final energy: -7.928 eV per atom

=====

No. 3
# Zr5Sb2 (PBE, optimized geometry)
data_Zr5Sb2
_chemical_formula_sum 'Zr20 Sb8'
_cell_length_a 14.600
_cell_length_b 5.714
_cell_length_c 7.838
_cell_angle_alpha 90.00
_cell_angle_beta 93.54
_cell_angle_gamma 90.00
_symmetry_space_group_name_H-M 'C 1 2/c 1'
_symmetry_Int_Tables_number 15
_symmetry_space_group_name_Hall '-C 2yc'
loop_
_atom_site_label
_atom_site_fract_x
_atom_site_fract_y
_atom_site_fract_z
Zr1 0.000 0.189 0.250
Zr2 0.102 0.345 0.940
Zr3 0.226 0.105 0.303
Sb1 0.100 0.173 0.579
# * volume: 23.31 Å³ per atom
# * final energy: -7.728 eV per atom

=====

No. 4
# Zr3Sb (PBE, optimized geometry)
data_Zr3Sb
_chemical_formula_sum 'Zr12 Sb4'
_cell_length_a 4.355
_cell_length_b 4.355
_cell_length_c 18.854
_cell_angle_alpha 90.00
_cell_angle_beta 90.00
_cell_angle_gamma 90.00
_symmetry_space_group_name_H-M 'I 4/m m m'
_symmetry_Int_Tables_number 139
_symmetry_space_group_name_Hall '-I 4 2'
loop_
_atom_site_label
_atom_site_fract_x
_atom_site_fract_y
_atom_site_fract_z
Zr1 0.000 0.000 0.123
Zr2 0.000 0.500 0.000
Zr3 0.000 0.500 0.250
Sb1 0.000 0.000 0.377
# * volume: 22.35 Å³ per atom
# * final energy: -7.832 eV per atom

=====

No. 5
# ZrSb2 (PBE, optimized geometry)
data_ZrSb2
_chemical_formula_sum 'Zr1 Sb2'
_cell_length_a 5.2920
_cell_length_b 5.2920
_cell_length_c 3.0576
_cell_angle_alpha 90.00
_cell_angle_beta 90.00
_cell_angle_gamma 120.00
_symmetry_space_group_name_H-M 'P 6/m m m'
_symmetry_Int_Tables_number 191
_symmetry_space_group_name_Hall '-P 6 2'
loop_
_atom_site_label
_atom_site_fract_x
_atom_site_fract_y
_atom_site_fract_z
Zr1 0.0000 0.0000 0.0000
Sb1 0.3333 0.6667 0.5000
# * volume: 24.72 Å³ per atom
# * final energy: -5.631 eV per atom

=====

No. 6
# Zr5Sb3 (PBE, optimized geometry)
data_Zr5Sb3
_chemical_formula_sum 'Zr20 Sb12'
_cell_length_a 10.853
_cell_length_b 8.888
_cell_length_c 7.609
_cell_angle_alpha 90.00
_cell_angle_beta 90.00
_cell_angle_gamma 90.00
_symmetry_space_group_name_H-M 'P n m a'
_symmetry_Int_Tables_number 62
_symmetry_space_group_name_Hall '-P 2ac 2n'
loop_
_atom_site_label
_atom_site_fract_x
_atom_site_fract_y
_atom_site_fract_z
Zr1 0.003 0.250 0.026
Zr2 0.053 0.056 0.699
Zr3 0.212 0.750 0.326
Zr4 0.232 0.250 0.318
Sb1 0.027 0.750 0.590
Sb2 0.178 0.507 0.065
# * volume: 22.94 Å³ per atom
# * relative energy among the computed polymorphs: 0.0000 eV/atom
# * final energy: -7.567 eV per atom

=====

What is the volume in the second record? 23.24 Å³ per atom